Here is Li7Mn2Co3O12 after structural relaxation from the Alexandria database. Energies are from GGA+U.

a b c (Å): 5.1468 5.8749 7.6835
angles (deg): 77.59 76.16 71.32
Last column: nearest neighbours and their distance in Å.
Space group P1 (No. 1)
Unique sites:
Li: 0.0000 0.0000 0.0000  6 O 2.04-2.17
Li: 0.0013 0.6746 0.3411  6 O 2.06-2.21
Li: 0.0044 0.3308 0.6582  6 O 2.05-2.21
Li: 0.0036 0.4936 0.9947  5 O 2.06-2.24
Li: 0.0068 0.1651 0.3385  4 O 2.04-2.17
Li: 0.0082 0.8442 0.6643  5 O 2.09-2.17
Li: 0.5049 0.0022 0.4992  6 O 2.05-2.15
Mn: 0.5036 0.5014 0.5000  6 O 1.92-1.96
Mn: 0.5076 0.8404 0.1683  6 O 1.92-2.01
Co: 0.4953 0.1563 0.8240  6 O 1.91-2.09
Co: 0.5032 0.3330 0.1677  4 O 1.90-1.94
Co: 0.5038 0.6646 0.8315  4 O 1.90-1.96
O: 0.2598 0.4927 0.7319  1 Mn 1.92, 1 Co 2.04, 3 Li 2.08-2.13
O: 0.2628 0.1472 0.0864  1 Mn 1.92, 3 Li 2.07-2.12, 1 Co 2.08
O: 0.2746 0.8195 0.4067  2 Mn 1.94-1.95, 4 Li 2.06-2.15
O: 0.2783 0.9868 0.7608  2 Co 1.91-1.92, 2 Li 2.04-2.07
O: 0.2932 0.3503 0.4065  1 Co 1.90, 1 Mn 1.93, 2 Li 2.05-2.06
O: 0.3008 0.6618 0.0818  2 Co 1.93-1.96, 1 Mn 2.01
O: 0.7084 0.3383 0.9200  3 Co 1.93-2.09, 1 Li 2.14
O: 0.7133 0.6527 0.5923  1 Co 1.90, 1 Mn 1.93, 2 Li 2.05
O: 0.7196 0.0106 0.2379  1 Co 1.90, 1 Mn 1.92, 2 Li 2.04-2.05
O: 0.7397 0.1886 0.5814  1 Mn 1.92, 1 Co 1.99, 4 Li 2.04-2.14
O: 0.7410 0.5251 0.2603  2 Mn 1.95-1.96, 3 Li 2.08-2.17
O: 0.7416 0.8348 0.9299  1 Mn 1.94, 2 Co 2.03-2.15, 2 Li 2.06-2.10

V (Å³/cell): 211.3
Mass density (g cm⁻³): 4.14
Final energy (eV per atom): -5.8278
Crystal system: triclinic